Entry from Alexandria: crystalline Pm4SnHg2 at its relaxed geometry (PBE-GGA).

Cell and atoms, written as POSCAR:
```
Pm4SnHg2
1.0
2.663 1.537 8.705
-2.663 1.537 8.705
0.000 -3.075 8.705
Pm Sn Hg
4 1 2
direct
0.120 0.120 0.120
0.373 0.373 0.373
0.627 0.627 0.627
0.880 0.880 0.880
0.500 0.500 0.500
0.253 0.253 0.253
0.747 0.747 0.747
```

Calculated values
As for the density of states at the Fermi level: 9.7 states/eV/cell. Its space group is No. 166. Its total energy is -3.741 eV per atom. Its energy of formation is -0.368 eV per atom.